Entry 1:
# LiNbFeBi, relaxed, DFT GGA-PBE
data_LiNbFeBi
_symmetry_space_group_name_H-M 'P 1'
_symmetry_Int_Tables_number 1
_symmetry_space_group_name_Hall 'P 1'
_cell_length_a 6.5220
_cell_length_b 6.5220
_cell_length_c 6.5220
_cell_angle_alpha 90.00
_cell_angle_beta 90.00
_cell_angle_gamma 90.00
loop_
_atom_site_label
_atom_site_type_symbol
_atom_site_fract_x
_atom_site_fract_y
_atom_site_fract_z
Li1 Li 0.0000 0.0000 0.0000
Li2 Li 0.0000 0.5000 0.5000
Li3 Li 0.5000 0.0000 0.5000
Li4 Li 0.5000 0.5000 0.0000
Nb1 Nb 0.2500 0.2500 0.2500
Nb2 Nb 0.2500 0.7500 0.7500
Nb3 Nb 0.7500 0.2500 0.7500
Nb4 Nb 0.7500 0.7500 0.2500
Fe1 Fe 0.2500 0.2500 0.7500
Fe2 Fe 0.2500 0.7500 0.2500
Fe3 Fe 0.7500 0.2500 0.2500
Fe4 Fe 0.7500 0.7500 0.7500
Bi1 Bi 0.0000 0.0000 0.5000
Bi2 Bi 0.0000 0.5000 0.0000
Bi3 Bi 0.5000 0.0000 0.0000
Bi4 Bi 0.5000 0.5000 0.5000
# **Energy relative to the lowest polymorph listed for this composition**: 31.9 kJ per mole of atoms

***

Entry 2:
# Cu2Ag3, relaxed, DFT GGA-PBE
data_Cu2Ag3
_symmetry_space_group_name_H-M 'P 1'
_symmetry_Int_Tables_number 1
_symmetry_space_group_name_Hall 'P 1'
_cell_length_a 4.8046
_cell_length_b 2.8456
_cell_length_c 11.4584
_cell_angle_alpha 90.00
_cell_angle_beta 95.79
_cell_angle_gamma 90.00
loop_
_atom_site_label
_atom_site_type_symbol
_atom_site_fract_x
_atom_site_fract_y
_atom_site_fract_z
Cu1 Cu 0.1024 0.0000 0.2918
Cu2 Cu 0.2050 0.5000 0.1096
Cu3 Cu 0.7950 0.5000 0.8904
Cu4 Cu 0.8976 0.0000 0.7082
Ag1 Ag 0.0000 0.5000 0.5000
Ag2 Ag 0.2765 0.0000 0.9117
Ag3 Ag 0.4002 0.5000 0.7074
Ag4 Ag 0.5000 0.0000 0.5000
Ag5 Ag 0.5998 0.5000 0.2926
Ag6 Ag 0.7235 0.0000 0.0883
# **E_form**: 0.093 eV/atom
# **Energy relative to the lowest polymorph listed for this composition**: 5.9 kJ per mole of atoms

***

Entry 3:
## Y2Te6Ir (GGA-PBE)

Data for a relaxed Y2Te6Ir crystal.

Structure (CIF):
```
data_Y2Te6Ir
_symmetry_space_group_name_H-M 'P 1'
_symmetry_Int_Tables_number 1
_symmetry_space_group_name_Hall 'P 1'
_cell_length_a 8.3580
_cell_length_b 8.3580
_cell_length_c 3.9925
_cell_angle_alpha 90.00
_cell_angle_beta 90.00
_cell_angle_gamma 120.00
loop_
_atom_site_label
_atom_site_type_symbol
_atom_site_fract_x
_atom_site_fract_y
_atom_site_fract_z
Y1 Y 0.3333 0.6667 0.0000
Y2 Y 0.6667 0.3333 0.0000
Te1 Te 0.0000 0.2251 0.0000
Te2 Te 0.0000 0.5506 0.5000
Te3 Te 0.2251 0.0000 0.0000
Te4 Te 0.4494 0.4494 0.5000
Te5 Te 0.5506 0.0000 0.5000
Te6 Te 0.7749 0.7749 0.0000
Ir1 Ir 0.0000 0.0000 0.5000
```

***

Entry 4:
# Tm2Mo, relaxed, DFT GGA-PBE
data_Tm2Mo
_symmetry_space_group_name_H-M 'P 1'
_symmetry_Int_Tables_number 1
_symmetry_space_group_name_Hall 'P 1'
_cell_length_a 5.8412
_cell_length_b 5.8412
_cell_length_c 5.8412
_cell_angle_alpha 60.00
_cell_angle_beta 60.00
_cell_angle_gamma 60.00
loop_
_atom_site_label
_atom_site_type_symbol
_atom_site_fract_x
_atom_site_fract_y
_atom_site_fract_z
Tm1 Tm 0.0000 0.0000 0.0000
Tm2 Tm 0.0000 0.0000 0.5000
Tm3 Tm 0.0000 0.5000 0.0000
Tm4 Tm 0.5000 0.0000 0.0000
Mo1 Mo 0.3750 0.3750 0.3750
Mo2 Mo 0.6250 0.6250 0.6250
# **E_form**: 1.093 eV/atom
# **Energy relative to the lowest polymorph listed for this composition**: 0.0 kJ per mole of atoms

***

Entry 5:
## PrFeSiGe (GGA-PBE)

Data for a relaxed PrFeSiGe crystal.

Structure (CIF):
```
data_PrFeSiGe
_symmetry_space_group_name_H-M 'P 1'
_symmetry_Int_Tables_number 1
_symmetry_space_group_name_Hall 'P 1'
_cell_length_a 4.3701
_cell_length_b 4.1097
_cell_length_c 8.2694
_cell_angle_alpha 90.00
_cell_angle_beta 103.45
_cell_angle_gamma 90.00
loop_
_atom_site_label
_atom_site_type_symbol
_atom_site_fract_x
_atom_site_fract_y
_atom_site_fract_z
Pr1 Pr 0.1088 0.2500 0.2097
Pr2 Pr 0.8912 0.7500 0.7903
Fe1 Fe 0.3793 0.2500 0.6016
Fe2 Fe 0.6207 0.7500 0.3984
Si1 Si 0.1749 0.7500 0.4967
Si2 Si 0.8251 0.2500 0.5033
Ge1 Ge 0.4451 0.2500 0.8962
Ge2 Ge 0.5549 0.7500 0.1038
```

***

Entry 6:
## ZrSc2Sn3Os3 (GGA-PBE)

Data for a relaxed ZrSc2Sn3Os3 crystal.

Structure (CIF):
```
data_ZrSc2Sn3Os3
_symmetry_space_group_name_H-M 'P 1'
_symmetry_Int_Tables_number 1
_symmetry_space_group_name_Hall 'P 1'
_cell_length_a 3.8172
_cell_length_b 7.2034
_cell_length_c 7.2034
_cell_angle_alpha 119.75
_cell_angle_beta 90.00
_cell_angle_gamma 90.00
loop_
_atom_site_label
_atom_site_type_symbol
_atom_site_fract_x
_atom_site_fract_y
_atom_site_fract_z
Zr1 Zr 0.0000 0.0000 0.0000
Sc1 Sc 0.0000 0.4060 0.8135
Sc2 Sc 0.0000 0.8135 0.4060
Sn1 Sn 0.0000 0.4108 0.4108
Sn2 Sn 0.5000 0.0730 0.7322
Sn3 Sn 0.5000 0.7322 0.0730
Os1 Os 0.5000 0.1486 0.3958
Os2 Os 0.5000 0.3958 0.1486
Os3 Os 0.5000 0.6626 0.6626
```

***

no.,final energy (eV/atom)
1,-5.550
2,-3.088
3,-5.230
4,-5.506
5,-6.457
6,-7.679